# 1
PBE AcSm2Tl3Te6, optimized geometry; SG = No. 12
1.0
-2.6922 6.0068 -4.5593
2.9012 -6.6298 -3.4274
-7.5420 -3.0942 2.7255
Te Tl Sm Ac
6 3 2 1
direct
0.7255 0.7255 0.2188 Te
0.0743 0.4216 0.2222 Te
0.2745 0.2745 0.7812 Te
0.4216 0.0743 0.2222 Te
0.5784 0.9257 0.7778 Te
0.9257 0.5784 0.7778 Te
0.1633 0.8367 0.5000 Tl
0.5000 0.5000 0.5000 Tl
0.8367 0.1633 0.5000 Tl
0.3329 0.6671 0.0000 Sm
0.6671 0.3329 0.0000 Sm
0.0000 0.0000 0.0000 Ac


# 2
PBE Ac2SmTl3Te6, optimized geometry; SG = No. 12
1.0
8.1742 0.0025 0.0002
-4.0829 7.0814 0.0002
-1.3646 -2.3627 8.1595
Te Sm Ac Tl
6 1 2 3
direct
0.0745 0.3939 0.2236 Te
0.2437 0.2437 0.7734 Te
0.9255 0.6061 0.7764 Te
0.3939 0.0745 0.2236 Te
0.7563 0.7563 0.2266 Te
0.6061 0.9255 0.7764 Te
0.0000 0.0000 0.0000 Sm
0.3337 0.6663 0.0000 Ac
0.6663 0.3337 0.0000 Ac
0.1689 0.8311 0.5000 Tl
0.5000 0.5000 0.5000 Tl
0.8311 0.1689 0.5000 Tl


The records above give, respectively, DFT total energy values of -4.383; -4.357 eV/atom.